# PBE SmZrCoIr, optimized geometry
# Electronic total energy, eV/atom: -7.681
# M_tot, Bohr magnetons per cell: 3.70
# Formation enthalpy at 0 K, eV/atom: -0.3723
data_SmZrCoIr
_symmetry_space_group_name_H-M 'F -4 3 m'
_symmetry_Int_Tables_number 216
_symmetry_space_group_name_Hall 'F -4 2 3'
_cell_length_a 6.735
_cell_length_b 6.735
_cell_length_c 6.735
_cell_angle_alpha 90.00
_cell_angle_beta 90.00
_cell_angle_gamma 90.00
loop_
_atom_site_label
_atom_site_fract_x
_atom_site_fract_y
_atom_site_fract_z
Sm1 0.000 0.000 0.000
Zr1 0.000 0.000 0.500
Co1 0.250 0.250 0.250
Ir1 0.250 0.250 0.750